1.
Crystalline TlIn2F6 at its relaxed geometry, computed with PBE-GGA.

Computed properties:
SG = P-31m, No. 162
energy above the most stable polymorph in this dataset = 0 meV/atom
energy relative to the elements, uncorrected = -2.220 eV per atom

Cell: 5.9458 5.9954 5.9954 Å, 120.00 90.00 90.00°
Closest atoms and distances in Å follow each position.
Element x y z (fractional)
F 0.6970 0.0000 0.3834  2 In 2.20
F 0.3030 0.3834 0.3834  2 In 2.20
F 0.3030 0.0000 0.6166  2 In 2.20
F 0.6970 0.6166 0.6166  2 In 2.20
F 0.3030 0.6166 0.0000  2 In 2.20
F 0.6970 0.3834 0.0000  2 In 2.20
In 0.5000 0.6667 0.3333  6 F 2.20
In 0.5000 0.3333 0.6667  6 F 2.20
Tl 0.0000 0.0000 0.0000  6 F 2.92

2.
Crystalline Tm6ZnTe5 at its relaxed geometry, computed with PBE-GGA.

Computed properties:
SG = C2/m, No. 12
energy relative to the elements, uncorrected = -1.092 eV per atom

Cell: 7.4421 7.4421 7.4102 Å, 99.58 99.58 119.86°
Closest atoms and distances in Å follow each position.
Element x y z (fractional)
Te 0.3365 0.6635 0.0000  6 Tm 3.05-3.08
Te 0.8206 0.1794 0.5000  6 Tm 3.05-3.19
Te 0.1794 0.8206 0.5000  6 Tm 3.05-3.19
Te 0.6635 0.3365 0.0000  6 Tm 3.05-3.08
Te 0.5000 0.5000 0.5000  6 Tm 3.05-3.27
Tm 0.2216 0.2216 0.7606  1 Zn 2.80, 4 Te 3.07-3.11
Tm 0.7784 0.7784 0.2394  1 Zn 2.80, 4 Te 3.07-3.11
Tm 0.6210 0.9253 0.7718  1 Zn 2.77, 4 Te 3.05-3.08
Tm 0.9253 0.6210 0.7718  1 Zn 2.77, 4 Te 3.05-3.08
Tm 0.3790 0.0747 0.2282  1 Zn 2.77, 4 Te 3.05-3.08
Tm 0.0747 0.3790 0.2282  1 Zn 2.77, 4 Te 3.05-3.08
Zn 0.0000 0.0000 0.0000  6 Tm 2.77-2.80

3.
Crystalline Ce6HfS12 at its relaxed geometry, computed with PBE-GGA.

Computed properties:
SG = R-3, No. 148
energy relative to the elements, uncorrected = -1.891 eV per atom

Cell: 7.9571 7.9571 7.9571 Å, 98.97 98.97 98.97°
Closest atoms and distances in Å follow each position.
Element x y z (fractional)
S 0.9341 0.6859 0.0361  1 Hf 2.54, 1 Ce 2.83
S 0.5840 0.4341 0.1778  4 Ce 2.75-2.91
S 0.4160 0.5659 0.8222  4 Ce 2.75-2.91
S 0.6859 0.0361 0.9341  1 Hf 2.54, 1 Ce 2.83
S 0.3141 0.9639 0.0659  1 Hf 2.54, 1 Ce 2.83
S 0.1778 0.5840 0.4341  4 Ce 2.75-2.91
S 0.5659 0.8222 0.4160  4 Ce 2.75-2.91
S 0.0361 0.9341 0.6859  1 Hf 2.54, 1 Ce 2.83
S 0.4341 0.1778 0.5840  4 Ce 2.75-2.91
S 0.0659 0.3141 0.9639  1 Hf 2.54, 1 Ce 2.83
S 0.9639 0.0659 0.3141  1 Hf 2.54, 1 Ce 2.83
S 0.8222 0.4160 0.5659  4 Ce 2.75-2.91
Ce 0.6984 0.3752 0.8643  7 S 2.75-3.04
Ce 0.6248 0.1357 0.3016  7 S 2.75-3.04
Ce 0.3752 0.8643 0.6984  7 S 2.75-3.04
Ce 0.8643 0.6984 0.3752  7 S 2.75-3.04
Ce 0.3016 0.6248 0.1357  7 S 2.75-3.04
Ce 0.1357 0.3016 0.6248  7 S 2.75-3.04
Hf 0.0000 0.0000 0.0000  6 S 2.54

4.
Crystalline Pu3ThIn4 at its relaxed geometry, computed with PBE-GGA.

Computed properties:
SG = Pmmm, No. 47
formation energy = -1.22 eV per formula unit

Cell: 4.7882 4.6614 9.3924 Å, 90.00 90.00 90.00°
Closest atoms and distances in Å follow each position.
Element x y z (fractional)
In 0.0000 0.0000 0.5000  4 In 3.27, 8 Pu 3.29-3.34
In 0.0000 0.5000 0.7446  4 In 3.27-3.34, 6 Pu 3.32-3.34, 2 Th 3.39
In 0.0000 0.0000 0.0000  4 Th 3.34, 4 In 3.34, 4 Pu 3.42
In 0.0000 0.5000 0.2554  4 In 3.27-3.34, 6 Pu 3.32-3.34, 2 Th 3.39
Th 0.5000 0.5000 0.0000  8 In 3.34-3.39, 4 Pu 3.37
Pu 0.5000 0.0000 0.7406  2 Pu 3.25, 8 In 3.29-3.42, 2 Th 3.37
Pu 0.5000 0.5000 0.5000  4 Pu 3.25, 8 In 3.32-3.34
Pu 0.5000 0.0000 0.2594  2 Pu 3.25, 8 In 3.29-3.42, 2 Th 3.37

5.
Crystalline ScSi2Pb at its relaxed geometry, computed with PBE-GGA.

Computed properties:
SG = P4/mmm, No. 123
energy relative to the elements, uncorrected = -0.086 eV per atom

Cell: 3.7328 3.7328 6.0577 Å, 90.00 90.00 90.00°
Closest atoms and distances in Å follow each position.
Element x y z (fractional)
Si 0.0000 0.0000 0.5572  1 Si 2.34
Si 0.0000 0.0000 0.9428  1 Si 2.34
Pb 0.5000 0.5000 0.2500  2 Sc 3.03, 8 Si 3.23
Sc 0.5000 0.5000 0.7500  8 Si 2.89, 2 Pb 3.03

6.
Crystalline Cs3U4S12 at its relaxed geometry, computed with PBE-GGA.

Computed properties:
SG = Im-3m, No. 229
energy relative to the elements, uncorrected = -1.261 eV per atom

Cell: 9.0245 9.0245 9.0245 Å, 109.47 109.47 109.47°
Closest atoms and distances in Å follow each position.
Element x y z (fractional)
S 0.2504 0.0001 0.7498  2 U 2.61
S 0.7498 0.2504 0.0001  2 U 2.61
S 0.7496 0.4994 0.7498  2 U 2.61
S 0.7496 0.9999 0.2502  2 U 2.61
S 0.4994 0.7498 0.7496  2 U 2.61
S 0.5006 0.2502 0.2504  2 U 2.61
S 0.7498 0.7496 0.4994  2 U 2.61
S 0.0001 0.7498 0.2504  2 U 2.61
S 0.2504 0.5006 0.2502  2 U 2.61
S 0.2502 0.2504 0.5006  2 U 2.61
S 0.9999 0.2502 0.7496  2 U 2.61
S 0.2502 0.7496 0.9999  2 U 2.61
Cs 0.0000 0.5000 0.5000  12 S 3.68-3.69
Cs 0.5000 0.0000 0.5000  12 S 3.68-3.69
Cs 0.5000 0.5000 0.0000  12 S 3.68-3.69
U 0.5000 0.0000 0.0000  6 S 2.61
U 0.0000 0.5000 0.0000  6 S 2.61
U 0.0000 0.0000 0.5000  6 S 2.61
U 0.5000 0.5000 0.5000  6 S 2.61